Compound: CoSOF2
Source: Alexandria
Functional: PBE with a Hubbard U
Structure: relaxed

## Properties
Energy: -0.1488 hartree per atom
Space-group type: P4/mmm
DOS at the Fermi energy: 3.09 states/eV per cell
Relative energy among the computed polymorphs: 0.000 eV/atom
Total magnetization: 1.24 μB/cell

abc: 3.8648 3.8648 4.1271
angles: 90.00 90.00 90.00
Element x y z (fractional)
Co  0.0000  0.0000  0.0000
S  0.5000  0.5000  0.5000
O  0.0000  0.0000  0.5000
F  0.0000  0.5000  0.0000
F  0.5000  0.0000  0.0000